No. 1
Entry from Alexandria via LeMat-Bulk: Mn2ReH after structural relaxation (PBE).

The energy relative to the lowest polymorph listed for this composition comes out at 0.680 eV per atom.

It has space group Fm-3m (No. 225), with a = 5.6233 Å, b = 5.6233 Å, c = 5.6233 Å, α = 90.00°, β = 90.00° and γ = 90.00°. The distinct sites, in fractional coordinates, are Mn at (0.2500, 0.2500, 0.2500), Re at (0.0000, 0.0000, 0.0000) and H at (0.0000, 0.0000, 0.5000).

No. 2
Entry from Alexandria via LeMat-Bulk: V2PN after structural relaxation (PBE).

The formation energy without anion corrections is -0.472 eV/atom. The energy relative to the lowest polymorph listed for this composition comes out at 0.334 eV per atom.

It has space group I-42d (No. 122), with a = 4.9693 Å, b = 4.9693 Å, c = 9.3511 Å, α = 90.00°, β = 90.00° and γ = 90.00°. The distinct sites, in fractional coordinates, are V at (0.1802, 0.2500, 0.1250), P at (0.0000, 0.0000, 0.5000) and N at (0.0000, 0.0000, 0.0000).

No. 3
Entry from Alexandria via LeMat-Bulk: Li3TlZn after structural relaxation (PBE).

The energy relative to the lowest polymorph listed for this composition comes out at 0.481 eV per atom.

It has space group Pm-3m (No. 221), with a = 5.1508 Å, b = 5.1508 Å, c = 5.1508 Å, α = 90.00°, β = 90.00° and γ = 90.00°. The distinct sites, in fractional coordinates, are Li at (0.0000, 0.0000, 0.5000), Tl at (0.0000, 0.0000, 0.0000) and Zn at (0.5000, 0.5000, 0.5000).

No. 4
Entry from Alexandria via LeMat-Bulk: Rb2CuP2 after structural relaxation (PBE).

It has space group P4/mbm (No. 127), with a = 6.4732 Å, b = 6.4732 Å, c = 5.6442 Å, α = 90.00°, β = 90.00° and γ = 90.00°. The distinct sites, in fractional coordinates, are Rb at (0.1768, 0.3232, 0.0000), Cu at (0.0000, 0.0000, 0.5000) and P at (0.1246, 0.6246, 0.5000).

No. 5
Entry from Alexandria via LeMat-Bulk: Hg2Sb3 after structural relaxation (PBE).

The formation energy without anion corrections is 0.277 eV/atom. The energy relative to the lowest polymorph listed for this composition comes out at 0.213 eV per atom.

It has space group R-3c (No. 167, hexagonal axes), with a = 7.7963 Å, b = 7.7963 Å, c = 16.6025 Å, α = 90.00°, β = 90.00° and γ = 120.00°. The distinct sites, in fractional coordinates, are Hg at (0.0000, 0.0000, 0.0879) and Sb at (0.0000, 0.2289, 0.2500).

No. 6
Entry from Alexandria via LeMat-Bulk: Zn5Pt after structural relaxation (PBE).

It has space group P2_1/m (No. 11), with a = 3.8997 Å, b = 8.2396 Å, c = 5.4658 Å, α = 90.00°, β = 91.03° and γ = 90.00°. The distinct sites, in fractional coordinates, are Zn at (0.2473, 0.0852, 0.1269), Zn at (0.2506, 0.7500, 0.1277), Zn at (0.2518, 0.0834, 0.6242) and Pt at (0.2504, 0.7500, 0.6238).

We obtain density values of 11.098, 4.224, 3.531, 4.163, 8.738, 9.875 Mg/m³ for the records listed above, in that order.
We obtain VASP energy values of -0.57662, -0.62220, -0.11488, -0.24870, -0.17034, -0.16844 Ry/atom for the records listed above, in that order.
We obtain N(E_F) values of 3.15, 5.43, 4.31, 3.05, 3.05, 1.70 states/eV/f.u. for the records listed above, in that order.